Entry 1:
Material: TePt5
Method: DFT, GGA-PBE
State: optimized geometry

Properties
space-group type	C2/m, No. 12
energy above the lowest structure with this stoichiometry	0.0144	eV per atom
DOS at the Fermi energy	5.19	states/eV/cell

```
TePt5
1.0
1.803 4.460 -0.002
-1.803 4.460 -0.002
0.000 2.517 6.376
Te Pt
1 5
Direct
0.500 0.500 0.500
0.167 0.167 0.677
0.500 0.500 0.000
0.833 0.833 0.323
0.833 0.833 0.845
0.167 0.167 0.155
```

***

Entry 2:
Material: TePt2
Method: DFT, GGA-PBE
State: optimized geometry

Properties
space-group type	I4/mmm, No. 139
energy above the lowest structure with this stoichiometry	0.1916	eV per atom
DOS at the Fermi energy	1.38	states/eV/cell

```
TePt2
1.0
-4.210 2.028 -1.491
-3.897 -2.963 -0.307
3.451 1.008 3.337
Pt Te
2 1
Direct
0.671 0.671 0.000
0.329 0.329 0.000
0.000 0.000 0.000
```

***

Entry 3:
Material: TePt2
Method: DFT, GGA-PBE
State: optimized geometry

Properties
space-group type	C2/m, No. 12
energy above the lowest structure with this stoichiometry	0.0043	eV per atom
DOS at the Fermi energy	2.07	states/eV/cell

```
TePt2
1.0
7.445 -0.018 -0.071
6.441 3.734 -0.071
3.072 0.822 4.211
Pt Te
4 2
Direct
0.322 0.322 0.437
0.659 0.659 0.691
0.619 0.619 0.253
0.955 0.955 0.507
0.005 0.005 0.931
0.273 0.273 0.014
```

***

Entry 4:
Material: TePt2
Method: DFT, GGA-PBE
State: optimized geometry

Properties
space-group type	P6_3/mmc, No. 194
energy above the lowest structure with this stoichiometry	0.2125	eV per atom
DOS at the Fermi energy	9.53	states/eV/cell

```
TePt2
1.0
5.660 0.000 0.000
-2.830 4.902 0.000
0.000 0.000 9.483
Te Pt
4 8
Direct
0.333 0.667 0.957
0.667 0.333 0.457
0.667 0.333 0.043
0.333 0.667 0.543
0.000 0.000 0.000
0.000 0.000 0.500
0.843 0.686 0.250
0.157 0.314 0.750
0.314 0.157 0.250
0.843 0.157 0.250
0.157 0.843 0.750
0.686 0.843 0.750
```

***

Entry 5:
Material: TePt2
Method: DFT, GGA-PBE
State: optimized geometry

Properties
space-group type	Pnma, No. 62
energy above the lowest structure with this stoichiometry	0.0681	eV per atom
DOS at the Fermi energy	4.38	states/eV/cell

```
TePt2
1.0
-3.707 2.629 -2.898
-4.259 -4.044 1.779
-1.585 4.262 5.894
Te Pt
4 8
Direct
0.250 0.617 0.371
0.750 0.883 0.871
0.250 0.117 0.129
0.750 0.383 0.629
0.250 0.891 0.828
0.750 0.609 0.328
0.250 0.391 0.672
0.750 0.109 0.172
0.250 0.016 0.479
0.750 0.484 0.979
0.250 0.516 0.021
0.750 0.984 0.521
```

***

Entry 6:
Material: Te3Pt2
Method: DFT, GGA-PBE
State: optimized geometry

Properties
space-group type	C2/m, No. 12
energy above the lowest structure with this stoichiometry	0.0000	eV per atom
DOS at the Fermi energy	2.54	states/eV/cell

```
Te3Pt2
1.0
4.060 -0.002 0.006
2.030 3.516 0.006
1.987 1.146 17.366
Te Pt
6 4
Direct
0.756 0.756 0.735
0.037 0.037 0.888
0.142 0.142 0.576
0.244 0.244 0.265
0.963 0.963 0.112
0.858 0.858 0.424
0.449 0.449 0.654
0.551 0.551 0.346
0.653 0.653 0.042
0.347 0.347 0.958
```

***

Entry 7:
Material: Th4Te3Pt
Method: DFT, GGA-PBE
State: optimized geometry

Properties
space-group type	P2/c, No. 13
DOS at the Fermi energy	16.87	states/eV/cell

```
Th4Te3Pt
1.0
5.136 -1.399 0.000
-3.138 8.782 0.000
0.000 0.000 10.821
Te Pt Th
6 2 8
Direct
0.750 0.000 0.378
0.250 0.000 0.622
0.750 0.500 0.622
0.750 0.500 0.125
0.250 0.500 0.378
0.250 0.500 0.875
0.750 0.000 0.902
0.250 0.000 0.098
0.996 0.246 0.631
0.484 0.236 0.879
0.496 0.246 0.369
0.984 0.236 0.121
0.016 0.764 0.879
0.504 0.754 0.631
0.516 0.764 0.121
0.004 0.754 0.369
```

***

Entry 8:
Material: Th2TePt
Method: DFT, GGA-PBE
State: optimized geometry

Properties
space-group type	R3m, No. 160
energy above the lowest structure with this stoichiometry	0.0295	eV per atom
DOS at the Fermi energy	2.45	states/eV/cell

```
Th2TePt
1.0
-0.216 0.857 4.094
-3.244 -1.381 2.260
2.789 -6.821 3.716
Th Te Pt
2 1 1
Direct
0.070 0.070 0.791
0.263 0.263 0.210
0.499 0.499 0.502
0.668 0.668 0.997
```

***

Entry 9:
Material: Th2TePt
Method: DFT, GGA-PBE
State: optimized geometry

Properties
space-group type	R-3m, No. 166
energy above the lowest structure with this stoichiometry	0.0000	eV per atom
DOS at the Fermi energy	3.48	states/eV/cell

```
Th2TePt
1.0
-1.509 3.450 1.973
-2.803 2.519 -1.968
-7.167 -2.152 2.860
Te Pt Th
1 1 2
Direct
0.500 0.500 0.500
0.000 0.000 0.000
0.263 0.263 0.211
0.737 0.737 0.789
```

***

Entry 10:
Material: ThTe2Pt
Method: DFT, GGA-PBE
State: optimized geometry

Properties
space-group type	R-3m, No. 166
DOS at the Fermi energy	3.93	states/eV/cell

```
ThTe2Pt
1.0
3.861 0.000 0.000
1.930 3.344 0.000
1.930 1.115 9.374
Te Pt Th
2 1 1
Direct
0.112 0.112 0.663
0.888 0.888 0.337
0.500 0.500 0.500
0.000 0.000 0.000
```

***

Entry 11:
Material: Th2TePt
Method: DFT, GGA-PBE
State: optimized geometry

Properties
space-group type	P-3m1, No. 164
energy above the lowest structure with this stoichiometry	0.0356	eV per atom
DOS at the Fermi energy	2.64	states/eV/cell

```
Th2TePt
1.0
-1.585 3.320 1.896
-3.780 1.352 -1.010
-3.160 -4.683 5.559
Th Te Pt
2 1 1
Direct
0.667 0.667 0.216
0.333 0.333 0.784
0.000 0.000 0.500
0.000 0.000 0.000
```

***

Entry 12:
Material: Th3Te6Pt
Method: DFT, GGA-PBE
State: optimized geometry

Properties
space-group type	Cmc2_1, No. 36

```
Th3Te6Pt
1.0
-3.798 -3.056 -6.011
5.737 -7.779 0.330
-7.309 -2.423 5.851
Th Te Pt
6 12 2
Direct
0.450 0.937 0.718
0.950 0.718 0.937
0.351 0.391 0.609
0.851 0.609 0.391
0.950 0.063 0.282
0.450 0.282 0.063
0.147 0.695 0.635
0.647 0.635 0.695
0.188 0.449 0.914
0.688 0.914 0.449
0.223 0.981 0.019
0.638 0.241 0.759
0.138 0.759 0.241
0.723 0.019 0.981
0.188 0.086 0.551
0.688 0.551 0.086
0.147 0.365 0.305
0.647 0.305 0.365
0.203 0.155 0.845
0.703 0.845 0.155
```

***

Number 1: density 17.9 g/cm3, calculated volume 17.096 Å³/atom, formation energy without anion corrections 0.01 eV per atom. Number 2: density 15.6 g/cm3, calculated volume 18.392 Å³/atom, formation energy without anion corrections 0.01 eV per atom. Number 3: density 14.5 g/cm3, calculated volume 19.740 Å³/atom, formation energy without anion corrections -0.17 eV per atom. Number 4: density 13.1 g/cm3, calculated volume 21.928 Å³/atom, formation energy without anion corrections 0.03 eV per atom. Number 5: density 14.0 g/cm3, calculated volume 20.516 Å³/atom, formation energy without anion corrections -0.11 eV per atom. Number 6: density 10.4 g/cm3, calculated volume 24.787 Å³/atom, formation energy without anion corrections -0.39 eV per atom. Number 7: density 11.4 g/cm3, calculated volume 27.531 Å³/atom, formation energy without anion corrections -0.99 eV per atom. Number 8: density 10.9 g/cm3, calculated volume 29.962 Å³/atom, formation energy without anion corrections -1.14 eV per atom. Number 9: density 10.9 g/cm3, calculated volume 29.841 Å³/atom, formation energy without anion corrections -1.17 eV per atom. Number 10: density 9.4 g/cm3, calculated volume 30.253 Å³/atom, formation energy without anion corrections -0.15 eV per atom. Number 11: density 11.1 g/cm3, calculated volume 29.397 Å³/atom, formation energy without anion corrections -1.13 eV per atom. Number 12: density 7.8 g/cm3, calculated volume 35.257 Å³/atom, formation energy without anion corrections -1.07 eV per atom.